# 1
First-principles (meta-GGA SCAN) data for TaAsSeF2 at its PBEsol-relaxed geometry, as listed in Alexandria via LeMat-Bulk.

Structure (CIF):
```
data_TaAsSeF2
_cell_length_a 3.907
_cell_length_b 3.907
_cell_length_c 6.192
_cell_angle_alpha 90.00
_cell_angle_beta 90.00
_cell_angle_gamma 90.00
_symmetry_space_group_name_H-M 'P 1'
_symmetry_Int_Tables_number 1
_symmetry_space_group_name_Hall 'P 1'
loop_
_atom_site_label
_atom_site_type_symbol
_atom_site_fract_x
_atom_site_fract_y
_atom_site_fract_z
Ta1 Ta 0.000 0.000 0.000
As1 As 0.500 0.500 0.500
Se1 Se 0.500 0.500 0.000
F1 F 0.000 0.500 0.500
F2 F 0.500 0.000 0.500
```

Summary:
Energy = -23.10 eV per atom
Formation energy (no corrections) = -30 kJ/mol of atoms
Spin magnetization = 3.12 Bohr magnetons per cell
Crystal system = tetragonal

=====

# 2
First-principles (meta-GGA SCAN) data for SrAsS3 at its PBEsol-relaxed geometry, as listed in Alexandria via LeMat-Bulk.

Structure (CIF):
```
data_SrAsS3
_cell_length_a 4.785
_cell_length_b 4.785
_cell_length_c 4.785
_cell_angle_alpha 90.00
_cell_angle_beta 90.00
_cell_angle_gamma 90.00
_symmetry_space_group_name_H-M 'P 1'
_symmetry_Int_Tables_number 1
_symmetry_space_group_name_Hall 'P 1'
loop_
_atom_site_label
_atom_site_type_symbol
_atom_site_fract_x
_atom_site_fract_y
_atom_site_fract_z
Sr1 Sr 0.000 0.000 0.000
As1 As 0.500 0.500 0.500
S1 S 0.000 0.500 0.500
S2 S 0.500 0.000 0.500
S3 S 0.500 0.500 0.000
```

Summary:
Energy = -15.08 eV per atom
Formation energy (no corrections) = -78 kJ/mol of atoms
Spin magnetization = 0.00 Bohr magnetons per cell
Crystal system = cubic

=====

# 3
First-principles (meta-GGA SCAN) data for ScRu2Rh at its PBEsol-relaxed geometry, as listed in Alexandria via LeMat-Bulk.

Structure (CIF):
```
data_ScRu2Rh
_cell_length_a 2.794
_cell_length_b 4.587
_cell_length_c 4.664
_cell_angle_alpha 90.00
_cell_angle_beta 97.47
_cell_angle_gamma 90.00
_symmetry_space_group_name_H-M 'P 1'
_symmetry_Int_Tables_number 1
_symmetry_space_group_name_Hall 'P 1'
loop_
_atom_site_label
_atom_site_type_symbol
_atom_site_fract_x
_atom_site_fract_y
_atom_site_fract_z
Sc1 Sc 0.000 0.000 0.000
Ru1 Ru 0.299 0.500 0.739
Ru2 Ru 0.701 0.500 0.261
Rh1 Rh 0.500 0.000 0.500
```

Summary:
Energy = -29.50 eV per atom
Spin magnetization = 0.01 Bohr magnetons per cell
Energy relative to the elements = -0.088 eV/atom
Crystal system = monoclinic

=====

Question: Which value of energy does entry 1 give?
Answer: -23.10 eV per atom

=====

Question: energy of number 1 (TaAsSeF2)?
Answer: -23.10 eV per atom

=====

Question: Among the records above, which one has the highest spin magnetization?
Answer: TaAsSeF2

=====

Question: The highest energy belongs to which entry?
Answer: SrAsS3